No. 1
CuSiPO2 after structural relaxation, computed with PBE.

Lattice parameters (Å, degrees): 3.6761 3.6761 4.7450 90.00 90.00 90.00
Closest atoms and distances in Å follow each position.
Positions (direct):
O  0.5000  0.0000  0.0000  2 Cu 1.84
P  0.0000  0.0000  0.5000  2 Cu 2.37, 4 Si 2.60
Si  0.5000  0.5000  0.5000  4 P 2.60
Cu  0.0000  0.0000  0.0000  4 O 1.84
O  0.0000  0.5000  0.0000  2 Cu 1.84

## Properties
energy above the most stable polymorph in this dataset = 1128 meV/atom

---

No. 2
Rb2ZrI6Cl after structural relaxation, computed with PBE.

Lattice parameters (Å, degrees): 9.1386 9.1386 8.6649 58.17 58.17 90.00
Closest atoms and distances in Å follow each position.
Positions (direct):
Zr  0.0000  0.0000  0.0000  6 I 2.87-2.90
I  0.7490  0.7490  0.5020  1 Cl 2.87, 1 Zr 2.90
I  0.2224  0.7776  0.0000  1 Zr 2.87
Cl  0.5000  0.5000  0.0000  2 I 2.87
I  0.7776  0.7776  0.0000  1 Zr 2.87
Rb  0.7500  0.2500  0.5000  12 I 4.35-4.57
Rb  0.2500  0.7500  0.5000  12 I 4.35-4.57
I  0.2510  0.2510  0.4980  1 Cl 2.87, 1 Zr 2.90
I  0.2224  0.2224  0.0000  1 Zr 2.87
I  0.7776  0.2224  0.0000  1 Zr 2.87

---

Summary of total energy in eV/cell
-23.42; -31.37
(order as listed above)
Summary of calculated volume in Å³/cell
64; 482
(order as listed above)